{
  "formula": "HoCo4Sn4Ge2",
  "functional": "PBE-GGA",
  "state": "optimized geometry",
  "final_energy_ev_per_atom": -5.590,
  "sg": "No. 121",
  "lattice": [[-3.192, 3.192, 4.785], [3.192, -3.192, 4.785], [3.192, 3.192, -4.785]],
  "species": ["Ho", "Co", "Co", "Co", "Co", "Sn", "Sn", "Sn", "Sn", "Ge", "Ge"],
  "frac_coords": [[0.000, 0.000, 0.000], [0.251, 0.612, 0.000], [0.388, 0.388, 0.639], [0.612, 0.251, 0.000], [0.749, 0.749, 0.361], [0.115, 0.115, 0.645], [0.470, 0.470, 0.355], [0.530, 0.885, 0.000], [0.885, 0.530, 0.000], [0.000, 0.500, 0.500], [0.500, 0.000, 0.500]]
}

---

{
  "formula": "Ba2TlAg",
  "functional": "PBE-GGA",
  "state": "optimized geometry",
  "final_energy_ev_per_atom": -2.427,
  "sg": "No. 216",
  "lattice": [[0.000, 4.000, 4.000], [4.000, 0.000, 4.000], [4.000, 4.000, 0.000]],
  "species": ["Ba", "Ba", "Tl", "Ag"],
  "frac_coords": [[0.000, 0.000, 0.000], [0.250, 0.250, 0.250], [0.500, 0.500, 0.500], [0.750, 0.750, 0.750]]
}

---

{
  "formula": "LaNpOs",
  "functional": "PBE-GGA",
  "state": "optimized geometry",
  "relative_energy_mev_per_atom": 0,
  "sg": "No. 216",
  "lattice": [[0.000, 3.376, 3.376], [3.376, 0.000, 3.376], [3.376, 3.376, 0.000]],
  "species": ["La", "Np", "Os"],
  "frac_coords": [[0.000, 0.000, 0.000], [0.500, 0.500, 0.500], [0.250, 0.250, 0.250]]
}

---

{
  "formula": "HfSiNiPt",
  "functional": "PBE-GGA",
  "state": "optimized geometry",
  "relative_energy_mev_per_atom": 141,
  "sg": "No. 216",
  "lattice": [[0.000, 3.122, 3.122], [3.122, 0.000, 3.122], [3.122, 3.122, 0.000]],
  "species": ["Hf", "Si", "Ni", "Pt"],
  "frac_coords": [[0.000, 0.000, 0.000], [0.250, 0.250, 0.250], [0.500, 0.500, 0.500], [0.750, 0.750, 0.750]]
}